(1)
The following is a DFT calculation (PBE) of crystalline YFeCuGe2 at its relaxed geometry.

Geometry as POSCAR:
```
YFeCuGe2
1.0
-2.022 2.022 5.167
2.022 -2.022 5.167
2.022 2.022 -5.167
Y Fe Cu Ge
1 1 1 2
Cartesian
0.000 0.000 0.000
0.000 2.022 2.584
2.022 0.000 2.584
0.000 0.000 3.902
0.000 0.000 6.432
```

Output
- DOS at the Fermi energy: 0.852 states/eV per atom
- E_form: -0.449 eV per atom
- SG: I-4m2, No. 119

***

(2)
The following is a DFT calculation (PBE) of crystalline FeCuH2 at its relaxed geometry.

Geometry as POSCAR:
```
FeCuH2
1.0
-1.995 1.995 3.897
1.995 -1.995 3.897
1.995 1.995 -3.897
Fe Cu H
2 2 4
Cartesian
0.000 0.000 0.000
0.000 1.995 1.948
1.995 0.000 1.948
0.000 0.000 3.897
2.992 0.962 -0.974
0.962 0.997 0.974
-0.997 1.033 2.923
1.033 0.997 4.871
```

Output
- DOS at the Fermi energy: 0.488 states/eV per atom
- Relative energy among the computed polymorphs: 58 meV per atom
- SG: I-42d, No. 122

***

(3)
The following is a DFT calculation (PBE) of crystalline FeCu2H2 at its relaxed geometry.

Geometry as POSCAR:
```
FeCu2H2
1.0
4.859 0.000 0.000
0.000 4.859 0.000
0.000 0.000 3.692
Fe Cu H
2 4 4
Cartesian
0.000 0.000 0.000
2.429 2.429 0.000
0.907 1.522 1.846
1.522 3.952 1.846
3.337 0.907 1.846
3.952 3.337 1.846
0.948 1.482 0.000
1.482 3.911 0.000
3.377 0.948 0.000
3.911 3.377 0.000
```

Output
- DOS at the Fermi energy: 0.737 states/eV per atom
- Relative energy among the computed polymorphs: 0 meV per atom
- SG: P4/mbm, No. 127

***

(4)
The following is a DFT calculation (PBE) of crystalline FeCu3H at its relaxed geometry.

Geometry as POSCAR:
```
FeCu3H
1.0
4.503 0.000 0.000
0.000 4.503 0.000
0.000 0.000 4.503
Fe Cu H
1 3 1
Cartesian
0.000 0.000 0.000
0.000 0.000 2.252
0.000 2.252 0.000
2.252 0.000 0.000
2.252 2.252 2.252
```

Output
- DOS at the Fermi energy: 1.059 states/eV per atom
- Relative energy among the computed polymorphs: 1266 meV per atom
- SG: Pm-3m, No. 221

***

(5)
The following is a DFT calculation (PBE) of crystalline FeCuH2 at its relaxed geometry.

Geometry as POSCAR:
```
FeCuH2
1.0
1.350 0.779 4.757
-1.350 0.779 4.757
0.000 -1.558 4.757
Fe Cu H
1 1 2
Cartesian
0.000 0.000 0.000
0.000 0.000 7.136
0.000 0.000 5.466
0.000 0.000 8.805
```

Output
- DOS at the Fermi energy: 0.505 states/eV per atom
- Relative energy among the computed polymorphs: 0 meV per atom
- SG: R-3m, No. 166

***

(6)
The following is a DFT calculation (PBE) of crystalline Fe5Cu3H12 at its relaxed geometry.

Geometry as POSCAR:
```
Fe5Cu3H12
1.0
-5.164 5.164 5.164
5.164 -5.164 5.164
5.164 5.164 -5.164
Fe Cu H
20 12 48
Cartesian
0.000 0.000 0.000
2.582 2.582 -2.582
2.582 -2.582 2.582
5.164 0.000 0.000
7.746 1.291 0.000
5.164 -2.582 3.873
3.873 5.164 -2.582
3.873 0.000 2.582
2.582 3.873 0.000
5.164 2.582 1.291
-2.582 2.582 2.582
0.000 5.164 0.000
0.000 0.000 5.164
2.582 2.582 2.582
0.000 2.582 3.873
2.582 1.291 5.164
1.291 5.164 2.582
1.291 0.000 7.746
0.000 7.746 1.291
-2.582 3.873 5.164
2.582 1.291 0.000
5.164 2.582 -1.291
1.291 0.000 2.582
6.455 0.000 2.582
0.000 2.582 1.291
2.582 -1.291 5.164
2.582 6.455 0.000
5.164 2.582 3.873
-1.291 5.164 2.582
3.873 5.164 2.582
0.000 2.582 6.455
2.582 3.873 5.164
1.538 -0.095 0.565
6.208 3.147 -2.677
6.702 0.095 0.565
6.208 -2.017 2.677
5.069 -0.565 1.538
7.841 -1.044 2.017
0.565 1.538 -0.095
7.181 2.487 -1.044
3.147 2.677 -1.044
4.599 1.538 0.095
-0.095 0.565 1.538
2.677 -1.044 3.147
5.069 4.599 -1.538
2.677 1.044 2.017
3.147 -2.677 6.208
4.599 -1.538 5.069
2.017 2.677 1.044
5.729 3.626 0.095
2.677 6.208 -2.017
5.069 0.565 3.626
1.538 5.069 -0.565
6.208 2.017 2.487
1.044 2.017 2.677
1.538 0.095 4.599
3.626 5.069 0.565
4.120 3.147 2.487
-1.044 3.147 2.677
3.626 0.095 5.729
0.095 4.599 1.538
2.487 -1.044 7.181
-0.565 1.538 5.069
3.147 2.487 4.120
0.565 6.702 0.095
2.017 7.841 -1.044
2.487 4.120 3.147
0.095 0.565 6.702
2.487 6.208 2.017
5.259 4.599 3.626
0.565 3.626 5.069
2.017 2.487 6.208
-2.017 2.677 6.208
4.599 3.626 5.259
-2.677 6.208 3.147
0.095 5.729 3.626
-1.044 7.181 2.487
-1.538 5.069 4.599
-1.044 2.017 7.841
3.626 5.259 4.599
```

Output
- DOS at the Fermi energy: 0.492 states/eV per atom
- SG: Ia-3d, No. 230

***

Number 1: V 85 Å³ per cell, E_tot -6.100 eV per atom. Number 2: V 62 Å³ per cell, E_tot -4.649 eV per atom. Number 3: V 87 Å³ per cell, E_tot -4.454 eV per atom. Number 4: V 91 Å³ per cell, E_tot -3.261 eV per atom. Number 5: V 30 Å³ per cell, E_tot -4.707 eV per atom. Number 6: V 551 Å³ per cell, E_tot -4.524 eV per atom.